Material: Ac6Ni2SbI3
Method: DFT, PBE
State: optimized geometry

a = 7.8617 Å, b = 7.8617 Å, c = 8.7738 Å
α = 98.70°, β = 98.70°, γ = 119.54°
With the nearest neighbours (Å) after each atom.
Fractional positions:
I 0.5000 0.5000 0.5000  6 Ac 3.53-3.76
I 0.8431 0.1569 0.5000  6 Ac 3.57-3.79
I 0.1569 0.8431 0.5000  6 Ac 3.57-3.79
Ni 0.6672 0.3328 0.0000  6 Ac 2.98-3.00
Ni 0.3328 0.6672 0.0000  6 Ac 2.98-3.00
Ac 0.0649 0.4297 0.1936  2 Ni 2.98-3.00, 1 Sb 3.30
Ac 0.6998 0.6998 0.1909  2 Ni 2.98, 1 Sb 3.29
Ac 0.3002 0.3002 0.8091  2 Ni 2.98, 1 Sb 3.29
Ac 0.5703 0.9351 0.8064  2 Ni 2.98-3.00, 1 Sb 3.30
Ac 0.4297 0.0649 0.1936  2 Ni 2.98-3.00, 1 Sb 3.30
Ac 0.9351 0.5703 0.8064  2 Ni 2.98-3.00, 1 Sb 3.30
Sb 0.0000 0.0000 0.0000  6 Ac 3.29-3.30

Values from the calculation:
Its symmetry is C2/m. The density of states at the Fermi level is 1.019 states/eV per atom. The formation energy (no corrections) is -9.6 eV/f.u.